5
Lattice="4.126 0.000 0.000 0.000 4.126 0.000 0.000 0.000 3.932" Properties=species:S:1:pos:R:3 comment="GGA-PBEsol NbIrOF2, optimized geometry" e_tot_ev_per_atom=-6.5957 e_form_raw_mev_per_atom=-646 sg="P4/mmm, No. 123" pbc="T T T"
Nb 0.000 0.000 0.000
Ir 2.063 2.063 1.966
O 0.000 0.000 1.966
F 0.000 2.063 0.000
F 2.063 0.000 0.000

5
Lattice="4.927 0.000 0.000 0.000 4.927 0.000 0.000 0.000 4.927" Properties=species:S:1:pos:R:3 comment="GGA-PBEsol Na3TlC, optimized geometry" formation_enthalpy_0k_ev_per_atom=0.81 e_tot_ev_per_atom=-2.4845 sg="Pm-3m, No. 221" pbc="T T T"
Na 0.000 0.000 2.464
Na 0.000 2.464 0.000
Na 2.464 0.000 0.000
Tl 2.464 2.464 2.464
C 0.000 0.000 0.000

5
Lattice="5.672 0.000 0.000 0.000 5.672 0.000 0.000 0.000 5.672" Properties=species:S:1:pos:R:3 comment="GGA-PBEsol KSiI3, optimized geometry" e_tot_ev_per_atom=-3.0523 e_form_raw_mev_per_atom=-616 sg="Pm-3m, No. 221" pbc="T T T"
K 0.000 0.000 0.000
Si 2.836 2.836 2.836
I 0.000 2.836 2.836
I 2.836 0.000 2.836
I 2.836 2.836 0.000

4
Lattice="1.605 0.927 11.018 -1.605 0.927 11.018 0.000 -1.853 11.018" Properties=species:S:1:pos:R:3 comment="GGA-PBEsol NbBrCl2, optimized geometry" e_tot_ev_per_atom=-4.3654 e_form_raw_mev_per_atom=-189 sg="R-3m, No. 166" pbc="T T T"
Nb 0.000 0.000 0.000
Br 0.000 0.000 16.527
Cl 0.000 0.000 2.248
Cl 0.000 0.000 30.807

4
Lattice="0.000 3.425 3.425 3.425 0.000 3.425 3.425 3.425 0.000" Properties=species:S:1:pos:R:3 comment="GGA-PBEsol HfCoPb2, optimized geometry" formation_enthalpy_0k_ev_per_atom=0.48 e_tot_ev_per_atom=-6.0821 sg="Fm-3m, No. 225" pbc="T T T"
Hf 0.000 0.000 0.000
Co 3.425 3.425 3.425
Pb 1.712 1.712 1.712
Pb 5.137 5.137 5.137

26
Lattice="5.636 0.000 0.000 -2.818 4.881 0.000 0.000 0.000 11.189" Properties=species:S:1:pos:R:3 comment="GGA-PBEsol Mn5V2Pb3O16, optimized geometry" e_tot_ev_per_atom=-8.0842 e_form_raw_mev_per_atom=-1774 sg="P-3m1, No. 164" pbc="T T T"
Mn 0.000 0.000 2.058
Mn 0.000 0.000 9.130
Mn -1.409 2.440 0.000
Mn 2.818 0.000 0.000
Mn 1.409 2.440 0.000
V 0.000 3.254 3.981
V 2.818 1.627 7.207
Pb 0.000 0.000 5.594
Pb 0.000 3.254 8.198
Pb 2.818 1.627 2.990
O 0.000 1.584 3.481
O -1.446 4.089 3.481
O 0.000 1.709 10.136
O -1.338 4.027 10.136
O 1.372 0.792 7.708
O 0.000 3.254 0.988
O 0.000 3.254 5.654
O 1.480 0.854 1.052
O 1.338 4.027 10.136
O 2.818 1.627 5.534
O 2.818 1.627 10.200
O 1.446 4.089 3.481
O 4.156 0.854 1.052
O 2.818 3.172 1.052
O 4.264 0.792 7.708
O 2.818 3.297 7.708

4
Lattice="-2.258 2.258 4.999 2.258 -2.258 4.999 2.258 2.258 -4.999" Properties=species:S:1:pos:R:3 comment="GGA-PBEsol LaMoPb2, optimized geometry" formation_enthalpy_0k_ev_per_atom=0.37 e_tot_ev_per_atom=-5.9030 e_above_lowest_polymorph_mev_per_atom=247 sg="I-4m2, No. 119" pbc="T T T"
La 0.000 0.000 0.000
Mo 0.000 2.258 2.500
Pb 2.258 0.000 2.500
Pb 0.000 0.000 4.999

4
Lattice="-1.367 4.343 2.349 1.367 -4.343 2.349 1.367 4.343 -2.349" Properties=species:S:1:pos:R:3 comment="GGA-PBEsol MgRh3, optimized geometry" formation_enthalpy_0k_ev_per_atom=-0.23 e_tot_ev_per_atom=-6.7623 sg="Imm2, No. 44" pbc="T T T"
Mg 0.000 0.000 0.000
Rh 1.367 2.210 -0.803
Rh 0.000 4.343 0.059
Rh 0.000 2.133 1.546

18
Lattice="5.686 0.000 0.000 0.000 4.891 0.000 -2.488 0.000 7.563" Properties=species:S:1:pos:R:3 comment="GGA-PBEsol LiCuSi2O5, optimized geometry" e_tot_ev_per_atom=-7.1239 e_form_raw_mev_per_atom=-2230 sg="P2_1, No. 4" pbc="T T T"
Li -0.458 0.000 2.363
Li 3.656 2.445 5.200
Cu -0.262 2.672 0.928
Cu 3.460 0.226 6.635
Si 0.719 2.416 3.869
Si 2.340 4.782 0.745
Si 0.858 2.336 6.818
Si 2.479 4.862 3.693
O -0.298 2.956 2.769
O 0.771 0.259 0.881
O 0.058 2.578 5.374
O 1.051 0.808 3.672
O 2.514 3.198 0.364
O 0.684 0.753 7.199
O 2.147 3.253 3.890
O 3.140 0.132 2.188
O 2.427 2.705 6.682
O 3.496 0.511 4.794

5
Lattice="4.782 0.000 0.000 0.000 4.782 0.000 0.000 0.000 4.782" Properties=species:S:1:pos:R:3 comment="GGA-PBEsol Ge3IrCl, optimized geometry" e_tot_ev_per_atom=-5.2255 e_form_raw_mev_per_atom=104 sg="Pm-3m, No. 221" pbc="T T T"
Ge 0.000 0.000 2.391
Ge 0.000 2.391 0.000
Ge 2.391 0.000 0.000
Ir 0.000 0.000 0.000
Cl 2.391 2.391 2.391

4
Lattice="4.144 0.000 0.000 0.000 4.144 0.000 0.000 0.000 3.513" Properties=species:S:1:pos:R:3 comment="GGA-PBEsol ZrNiCl2, optimized geometry" e_tot_ev_per_atom=-5.1292 e_form_raw_mev_per_atom=-313 e_above_lowest_polymorph_mev_per_atom=528 sg="P4/mmm, No. 123" pbc="T T T"
Zr 0.000 0.000 0.000
Ni 2.072 2.072 0.000
Cl 0.000 2.072 1.756
Cl 2.072 0.000 1.756

5
Lattice="-3.515 3.515 2.738 3.515 -3.515 2.738 3.515 3.515 -2.738" Properties=species:S:1:pos:R:3 comment="GGA-PBEsol BaHg4, optimized geometry" formation_enthalpy_0k_ev_per_atom=-0.42 e_tot_ev_per_atom=-1.3024 e_above_lowest_polymorph_mev_per_atom=0 sg="I4/m, No. 87" pbc="T T T"
Ba 0.000 0.000 0.000
Hg 3.408 1.411 0.000
Hg 2.104 -0.108 2.738
Hg 1.411 3.623 0.000
Hg 0.108 2.104 2.738

4
Lattice="-2.339 2.339 3.891 2.339 -2.339 3.891 2.339 2.339 -3.891" Properties=species:S:1:pos:R:3 comment="GGA-PBEsol LiSc2Pb, optimized geometry" formation_enthalpy_0k_ev_per_atom=-0.28 e_tot_ev_per_atom=-5.0704 sg="I4/mmm, No. 139" pbc="T T T"
Li 0.000 0.000 0.000
Sc 2.339 0.000 1.945
Sc 0.000 2.339 1.945
Pb 0.000 0.000 3.891

4
Lattice="-2.456 2.456 5.287 2.456 -2.456 5.287 2.456 2.456 -5.287" Properties=species:S:1:pos:R:3 comment="GGA-PBEsol K2MgSe, optimized geometry" e_tot_ev_per_atom=-2.3141 e_form_raw_mev_per_atom=-356 e_above_lowest_polymorph_mev_per_atom=112 sg="I-4m2, No. 119" pbc="T T T"
K 0.000 0.000 0.000
K 0.000 2.456 2.644
Mg 0.000 0.000 5.287
Se 2.456 0.000 2.644

4
Lattice="4.214 0.000 0.000 0.000 3.501 0.000 -1.351 0.000 5.775" Properties=species:S:1:pos:R:3 comment="GGA-PBEsol ZnHg3, optimized geometry" formation_enthalpy_0k_ev_per_atom=0.06 e_tot_ev_per_atom=-0.7585 e_above_lowest_polymorph_mev_per_atom=15 sg="P2/m, No. 10" pbc="T T T"
Zn 0.000 0.000 0.000
Hg -0.676 0.000 2.888
Hg 1.615 1.750 1.380
Hg 1.248 1.750 4.395

4
Lattice="-2.032 2.032 3.666 2.032 -2.032 3.666 2.032 2.032 -3.666" Properties=species:S:1:pos:R:3 comment="GGA-PBEsol ScMoRh2, optimized geometry" formation_enthalpy_0k_ev_per_atom=-0.32 e_tot_ev_per_atom=-8.9865 sg="I4/mmm, No. 139" pbc="T T T"
Sc 0.000 0.000 0.000
Mo 0.000 0.000 3.666
Rh 2.032 0.000 1.833
Rh 0.000 2.032 1.833

106
Lattice="10.927 0.000 0.000 -5.463 9.463 0.000 0.000 0.000 17.631" Properties=species:S:1:pos:R:3 comment="GGA-PBEsol Y6Al43W4, optimized geometry" formation_enthalpy_0k_ev_per_atom=-0.28 e_tot_ev_per_atom=-5.4117 sg="P6_3/mcm, No. 193" pbc="T T T"
Y -2.556 4.426 1.686
Y -2.556 4.426 7.129
Y -2.908 5.036 10.502
Y -2.908 5.036 15.945
Y 5.111 0.000 1.686
Y 5.111 0.000 7.129
Y 2.556 4.426 10.502
Y 2.556 4.426 15.945
Y 5.816 0.000 10.502
Y 5.816 0.000 15.945
Y 2.908 5.036 1.686
Y 2.908 5.036 7.129
Al -0.811 1.404 13.223
Al -0.875 1.515 2.019
Al -0.875 1.515 6.797
Al -1.388 2.403 9.349
Al -1.388 2.403 17.097
Al -4.076 7.059 0.534
Al -4.076 7.059 8.282
Al -4.589 7.948 10.834
Al -4.589 7.948 15.612
Al -4.653 8.059 4.408
Al 1.621 0.000 13.223
Al 0.811 1.404 4.408
Al -1.398 5.220 4.408
Al -1.642 5.642 13.223
Al -0.433 3.731 11.700
Al -0.433 3.731 14.746
Al -2.449 7.222 2.885
Al -2.449 7.222 5.931
Al 1.749 0.000 2.019
Al 1.749 0.000 6.797
Al 0.875 1.515 10.834
Al 0.875 1.515 15.612
Al 0.433 3.731 2.885
Al 0.433 3.731 5.931
Al -2.015 7.973 11.700
Al -2.015 7.973 14.746
Al 0.000 4.674 0.000
Al 0.000 4.674 8.816
Al -1.416 7.126 0.000
Al -1.416 7.126 8.816
Al 2.775 0.000 9.349
Al 2.775 0.000 17.097
Al 1.388 2.403 0.534
Al 1.388 2.403 8.282
Al 0.000 6.308 2.209
Al 0.000 6.308 6.606
Al 0.000 6.308 11.025
Al 0.000 6.308 15.422
Al 3.448 1.490 11.700
Al 3.448 1.490 14.746
Al 3.014 2.241 2.885
Al 3.014 2.241 5.931
Al 1.398 5.220 13.223
Al -0.244 8.063 4.408
Al 1.642 5.642 4.408
Al 0.244 8.063 13.223
Al 4.047 2.337 0.000
Al 4.047 2.337 8.816
Al 1.416 7.126 0.000
Al 1.416 7.126 8.816
Al 5.220 1.399 4.408
Al 3.822 3.821 13.223
Al 5.707 1.399 13.223
Al 4.065 4.243 4.408
Al 2.449 7.222 11.700
Al 2.449 7.222 14.746
Al 2.015 7.973 2.885
Al 2.015 7.973 5.931
Al 5.463 3.154 2.209
Al 5.463 3.154 6.606
Al 5.463 3.154 11.025
Al 5.463 3.154 15.422
Al 8.151 0.000 0.534
Al 8.151 0.000 8.282
Al 4.076 7.059 9.349
Al 4.076 7.059 17.097
Al 6.879 2.337 0.000
Al 6.879 2.337 8.816
Al 5.463 4.789 0.000
Al 5.463 4.789 8.816
Al 7.479 1.490 2.885
Al 7.479 1.490 5.931
Al 5.030 5.732 11.700
Al 5.030 5.732 14.746
Al 9.177 0.000 10.834
Al 9.177 0.000 15.612
Al 4.589 7.948 2.019
Al 4.589 7.948 6.797
Al 7.912 2.241 11.700
Al 7.912 2.241 14.746
Al 5.897 5.732 2.885
Al 5.897 5.732 5.931
Al 9.306 0.000 4.408
Al 7.105 3.821 4.408
Al 6.861 4.243 13.223
Al 4.653 8.059 13.223
W 0.000 0.000 0.000
W 0.000 0.000 8.816
W -1.479 2.561 4.408
W -3.985 6.901 13.223
W 2.957 0.000 4.408
W 1.479 2.561 13.223
W 7.969 0.000 13.223
W 3.985 6.901 4.408

44
Lattice="8.196 -4.834 0.000 8.196 4.834 0.000 -0.290 0.000 11.792" Properties=species:S:1:pos:R:3 comment="GGA-PBEsol K2Re3S6, optimized geometry" e_tot_ev_per_atom=-7.0610 e_form_raw_mev_per_atom=-828 sg="C2/c, No. 15" pbc="T T T"
K 7.978 3.828 8.844
K 6.000 2.301 11.558
K 8.123 2.056 2.948
K 9.957 2.301 6.131
K 6.145 -2.301 5.662
K 7.978 -2.056 8.844
K 10.102 -2.301 0.235
K 8.123 -3.828 2.948
Re 3.201 1.711 7.447
Re 3.270 0.993 4.906
Re 5.496 1.459 6.210
Re 3.125 -0.993 10.802
Re 3.346 -1.711 1.551
Re 5.641 -1.459 0.313
Re 10.461 1.459 11.479
Re 12.756 1.711 10.242
Re 12.977 0.993 0.990
Re 10.606 -1.459 5.583
Re 12.832 -0.993 6.886
Re 12.901 -1.711 4.346
S 6.708 3.489 5.665
S 2.169 0.850 9.496
S 5.301 2.169 8.491
S 4.187 0.399 0.832
S 9.539 3.489 0.231
S 2.314 -0.850 3.600
S 5.419 0.863 3.892
S 4.042 -0.399 6.728
S 5.274 -0.863 9.789
S 10.656 2.169 9.198
S 7.552 0.280 6.789
S 7.697 -0.280 0.893
S 8.405 0.280 10.900
S 8.550 -0.280 5.004
S 5.446 -2.169 2.595
S 10.827 0.863 2.004
S 12.060 0.399 5.065
S 10.682 -0.863 7.900
S 13.787 0.850 8.193
S 6.563 -3.489 11.561
S 11.915 -0.399 10.961
S 10.801 -2.169 3.301
S 13.932 -0.850 2.297
S 9.394 -3.489 6.127